A plane-wave DFT calculation with PBE-GGA was carried out for CaTiIr after structural relaxation.

Summary:
For the density of states at the Fermi level, the calculation gives 7.66 states/eV per cell. The formation energy is -56.1 kJ per mole of atoms. As for the uncorrected energy: -6.834 eV/atom.

Cell and atoms, written as extended XYZ:
```
6
Lattice="4.312 0.000 0.000 0.000 4.312 0.000 0.000 0.000 7.212" Properties=species:S:1:pos:R:3 pbc="T T T"
Ir 2.156 0.000 4.942
Ir 0.000 2.156 2.270
Ca 2.156 0.000 1.047
Ca 0.000 2.156 6.165
Ti 2.156 2.156 3.606
Ti 0.000 0.000 3.606
```